Material: NaPuAg2
Method: DFT, PBE
State: optimized geometry

Computed properties:
Electronic total energy = -5.2782 eV per atom
Energy of formation from the pure elements = 0.06 eV/atom
M_tot = 6.31 μB per cell
ΔE to the lowest computed polymorph = 13 meV per atom
Fermi-level density of states = 9.3 states/eV/cell
Mass density = 8.52 g/cm³

CIF file:
```
data_NaPuAg2
_chemical_formula_sum 'Na1 Pu1 Ag2'
_cell_length_a 5.560
_cell_length_b 5.560
_cell_length_c 3.043
_cell_angle_alpha 90.00
_cell_angle_beta 90.00
_cell_angle_gamma 90.00
_symmetry_space_group_name_H-M 'P 4/m m m'
_symmetry_Int_Tables_number 123
_symmetry_space_group_name_Hall '-P 4 2'
loop_
_atom_site_label
_atom_site_type_symbol
_atom_site_fract_x
_atom_site_fract_y
_atom_site_fract_z
Na1 Na 0.000 0.000 0.000
Pu1 Pu 0.500 0.500 0.000
Ag1 Ag 0.000 0.500 0.500
```